# 1
SmB3Ir5, relaxed, DFT PBE-GGA; N(E_F) = 9.559 states/eV per cell; volume = 251.2 Å³ per cell; total DFT energy (no corrections) = -141.80 eV for the cell shown; E_form = -205 meV/atom; SG = Cmcm (63)
1.0
3.375 0.000 0.000
-1.688 5.035 0.000
0.000 0.000 14.779
Sm Ir B
2 10 6
Direct
0.787 0.574 0.750
0.213 0.426 0.250
0.752 0.504 0.420
0.248 0.496 0.920
0.000 0.000 0.500
0.752 0.504 0.080
0.513 0.026 0.840
0.248 0.496 0.580
0.487 0.974 0.160
0.000 0.000 0.000
0.487 0.974 0.340
0.513 0.026 0.660
0.634 0.267 0.960
0.040 0.079 0.750
0.960 0.921 0.250
0.634 0.267 0.540
0.366 0.733 0.460
0.366 0.733 0.040

---

# 2
La6FePd2, relaxed, DFT PBE-GGA; N(E_F) = 21.750 states/eV per cell; volume = 545.1 Å³ per cell; total DFT energy (no corrections) = -103.20 eV for the cell shown; E_form = -354 meV/atom; SG = P2_1/c (14)
1.0
-1.670 -2.117 -6.328
6.442 -4.010 -0.358
-5.060 -8.443 3.511
La Pd Fe
12 4 2
Direct
0.167 0.313 0.567
0.644 0.460 0.753
0.317 0.822 0.561
0.356 0.540 0.247
0.183 0.322 0.939
0.833 0.687 0.433
0.683 0.178 0.439
0.817 0.678 0.061
0.856 0.960 0.747
0.333 0.813 0.933
0.144 0.040 0.253
0.667 0.187 0.067
0.444 0.110 0.735
0.056 0.610 0.765
0.556 0.890 0.265
0.944 0.390 0.235
0.500 0.500 0.000
0.000 0.000 0.500

---

# 3
Er4PbS2, relaxed, DFT PBE-GGA; raw formation energy = -1.296 eV/atom; N(E_F) = 10.499 states/eV per cell; volume = 342.4 Å³ per cell; energy above the lowest structure with this stoichiometry = 0.0 meV/atom; total DFT energy (no corrections) = -78.58 eV for the cell shown; SG = Cmcm (63)
1.0
3.961 0.000 0.000
-1.980 6.514 0.000
0.000 0.000 13.271
S Er Pb
4 8 2
Direct
0.133 0.266 0.443
0.867 0.734 0.943
0.133 0.266 0.057
0.867 0.734 0.557
0.762 0.524 0.116
0.238 0.476 0.884
0.500 0.000 0.000
0.925 0.850 0.750
0.762 0.524 0.384
0.238 0.476 0.616
0.075 0.150 0.250
0.500 0.000 0.500
0.394 0.788 0.250
0.606 0.212 0.750

---

# 4
TlCdCl4, relaxed, DFT PBE-GGA; raw formation energy = -0.851 eV/atom; N(E_F) = 10.036 states/eV per cell; volume = 361.7 Å³ per cell; energy above the lowest structure with this stoichiometry = 0.0 meV/atom; total DFT energy (no corrections) = -31.55 eV for the cell shown; SG = C2/m (12)
1.0
-0.883 -1.642 3.577
6.858 0.316 1.838
-1.879 11.510 4.818
Cl Tl Cd
8 2 2
Direct
0.000 0.692 0.879
0.000 0.352 0.615
0.500 0.148 0.885
0.500 0.808 0.621
0.000 0.648 0.385
0.500 0.192 0.379
0.000 0.308 0.121
0.500 0.852 0.115
0.500 0.500 0.000
0.000 0.000 0.500
0.500 0.500 0.500
0.000 0.000 0.000

---

> The lowest N(E_F) belongs to which entry?

SmB3Ir5

---

> Number 3 is which compound?

Er4PbS2